1.
This record from the Alexandria database describes a relaxed Ba5Al2I2 crystal. The functional is PBE.

CIF file:
```
data_Ba5Al2I2
_chemical_formula_sum 'Ba20 Al8 I8'
_cell_length_a 18.3479
_cell_length_b 9.2796
_cell_length_c 9.2767
_cell_angle_alpha 90.00
_cell_angle_beta 90.00
_cell_angle_gamma 90.00
_symmetry_space_group_name_H-M 'C m c e'
_symmetry_Int_Tables_number 64
_symmetry_space_group_name_Hall '-C 2ac 2'
loop_
_atom_site_label
_atom_site_type_symbol
_atom_site_fract_x
_atom_site_fract_y
_atom_site_fract_z
Ba1 Ba 0.0000 0.0000 0.0000
Ba2 Ba 0.1246 0.1679 0.3347
Al1 Al 0.0000 0.1137 0.6131
I1 I 0.2054 0.0000 0.0000
```

Values from the calculation:
Spin magnetization: 0.00 μB/atom
Final energy: -2.92 eV per atom
E_form (uncorrected): -0.671 eV/atom

=====

2.
This record from the Alexandria database describes a relaxed KBaNa2 crystal. The functional is PBE.

CIF file:
```
data_KBaNa2
_chemical_formula_sum 'K3 Ba3 Na6'
_cell_length_a 4.2986
_cell_length_b 4.2986
_cell_length_c 40.1241
_cell_angle_alpha 90.00
_cell_angle_beta 90.00
_cell_angle_gamma 120.00
_symmetry_space_group_name_H-M 'R -3 m'
_symmetry_Int_Tables_number 166
_symmetry_space_group_name_Hall '-R 3 2"'
loop_
_atom_site_label
_atom_site_type_symbol
_atom_site_fract_x
_atom_site_fract_y
_atom_site_fract_z
K1 K 0.0000 0.0000 0.0000
Ba1 Ba 0.0000 0.0000 0.5000
Na1 Na 0.0000 0.0000 0.2481
```

Values from the calculation:
Spin magnetization: 0.00 μB/atom
Excess energy over the best structure of this formula in the dataset: 49 meV/atom
Final energy: -1.35 eV per atom

=====

3.
This record from the Alexandria database describes a relaxed Ti8BeGa2 crystal. The functional is PBE.

CIF file:
```
data_Ti8BeGa2
_chemical_formula_sum 'Ti16 Be2 Ga4'
_cell_length_a 4.4890
_cell_length_b 5.9067
_cell_length_c 13.3465
_cell_angle_alpha 90.00
_cell_angle_beta 90.00
_cell_angle_gamma 90.00
_symmetry_space_group_name_H-M 'I m m m'
_symmetry_Int_Tables_number 71
_symmetry_space_group_name_Hall '-I 2 2'
loop_
_atom_site_label
_atom_site_type_symbol
_atom_site_fract_x
_atom_site_fract_y
_atom_site_fract_z
Ti1 Ti 0.0000 0.0000 0.1848
Ti2 Ti 0.0000 0.2323 0.3657
Ti3 Ti 0.0000 0.2514 0.0000
Be1 Be 0.0000 0.5000 0.5000
Ga1 Ga 0.0000 0.5000 0.1873
```

Values from the calculation:
Spin magnetization: 0.02 μB/atom
Final energy: -6.79 eV per atom

=====

4.
This record from the Alexandria database describes a relaxed NaPtIO5 crystal. The functional is PBE.

CIF file:
```
data_NaPtIO5
_chemical_formula_sum 'Na4 Pt4 I4 O20'
_cell_length_a 6.4026
_cell_length_b 9.5327
_cell_length_c 7.2562
_cell_angle_alpha 90.00
_cell_angle_beta 103.49
_cell_angle_gamma 90.00
_symmetry_space_group_name_H-M 'C 1 2/c 1'
_symmetry_Int_Tables_number 15
loop_
_symmetry_equiv_pos_as_xyz
'x,y,z'
'-x,-y,-z'
'-x,y,-z+1/2'
'x,-y,z+1/2'
'x+1/2,y+1/2,z'
'-x+1/2,-y+1/2,-z'
'-x+1/2,y+1/2,-z+1/2'
'x+1/2,-y+1/2,z+1/2'
loop_
_atom_site_label
_atom_site_type_symbol
_atom_site_fract_x
_atom_site_fract_y
_atom_site_fract_z
Na1 Na 0.0000 0.1717 0.2500
Pt1 Pt 0.0000 0.5000 0.0000
I1 I 0.0000 0.1712 0.7500
O1 O 0.0000 0.4108 0.2500
O2 O 0.1202 0.3076 0.6071
O3 O 0.2022 0.0792 0.9831
```

Values from the calculation:
Spin magnetization: 0.00 μB/atom
Final energy: -4.71 eV per atom
E_form (uncorrected): -0.502 eV/atom

=====

5.
This record from the Alexandria database describes a relaxed ZnP2Ru crystal. The functional is PBE.

CIF file:
```
data_ZnP2Ru
_chemical_formula_sum 'Zn2 P4 Ru2'
_cell_length_a 5.1780
_cell_length_b 6.8893
_cell_length_c 3.1116
_cell_angle_alpha 90.00
_cell_angle_beta 90.00
_cell_angle_gamma 90.00
_symmetry_space_group_name_H-M 'C m m m'
_symmetry_Int_Tables_number 65
_symmetry_space_group_name_Hall '-C 2 2'
loop_
_atom_site_label
_atom_site_type_symbol
_atom_site_fract_x
_atom_site_fract_y
_atom_site_fract_z
Zn1 Zn 0.0000 0.0000 0.0000
P1 P 0.2500 0.2500 0.5000
Ru1 Ru 0.0000 0.5000 0.0000
```

Values from the calculation:
Spin magnetization: 0.00 μB/atom
Final energy: -5.17 eV per atom

=====

6.
This record from the Alexandria database describes a relaxed LaBiSeBr2 crystal. The functional is PBE.

CIF file:
```
data_LaBiSeBr2
_chemical_formula_sum 'La1 Bi1 Se1 Br2'
_cell_length_a 5.7732
_cell_length_b 5.7732
_cell_length_c 5.9493
_cell_angle_alpha 90.00
_cell_angle_beta 90.00
_cell_angle_gamma 90.00
_symmetry_space_group_name_H-M 'P 4/m m m'
_symmetry_Int_Tables_number 123
_symmetry_space_group_name_Hall '-P 4 2'
loop_
_atom_site_label
_atom_site_type_symbol
_atom_site_fract_x
_atom_site_fract_y
_atom_site_fract_z
La1 La 0.0000 0.0000 0.0000
Bi1 Bi 0.5000 0.5000 0.5000
Se1 Se 0.0000 0.0000 0.5000
Br1 Br 0.0000 0.5000 0.0000
```

Values from the calculation:
Spin magnetization: 0.40 μB/atom
Excess energy over the best structure of this formula in the dataset: 0 meV/atom
Final energy: -3.97 eV per atom
E_form (uncorrected): -0.840 eV/atom

=====

7.
This record from the Alexandria database describes a relaxed CeTiFeP2 crystal. The functional is PBE.

CIF file:
```
data_CeTiFeP2
_chemical_formula_sum 'Ce2 Ti2 Fe2 P4'
_cell_length_a 3.7714
_cell_length_b 3.7714
_cell_length_c 11.7627
_cell_angle_alpha 90.00
_cell_angle_beta 90.00
_cell_angle_gamma 90.00
_symmetry_space_group_name_H-M 'I -4 m 2'
_symmetry_Int_Tables_number 119
_symmetry_space_group_name_Hall 'I -4 -2'
loop_
_atom_site_label
_atom_site_type_symbol
_atom_site_fract_x
_atom_site_fract_y
_atom_site_fract_z
Ce1 Ce 0.0000 0.0000 0.0000
Ti1 Ti 0.0000 0.5000 0.7500
Fe1 Fe 0.0000 0.5000 0.2500
P1 P 0.0000 0.0000 0.3750
```

Values from the calculation:
Spin magnetization: 0.34 μB/atom
Final energy: -7.62 eV per atom

=====

8.
This record from the Alexandria database describes a relaxed BaLa crystal. The functional is PBE.

CIF file:
```
data_BaLa
_chemical_formula_sum 'Ba3 La3'
_cell_length_a 3.9630
_cell_length_b 3.9630
_cell_length_c 20.0558
_cell_angle_alpha 90.00
_cell_angle_beta 90.00
_cell_angle_gamma 120.00
_symmetry_space_group_name_H-M 'R -3 m'
_symmetry_Int_Tables_number 166
_symmetry_space_group_name_Hall '-R 3 2"'
loop_
_atom_site_label
_atom_site_type_symbol
_atom_site_fract_x
_atom_site_fract_y
_atom_site_fract_z
Ba1 Ba 0.0000 0.0000 0.0000
La1 La 0.0000 0.0000 0.5000
```

Values from the calculation:
Spin magnetization: 0.00 μB/atom
Excess energy over the best structure of this formula in the dataset: 97 meV/atom
Final energy: -3.23 eV per atom

=====

Q: Which of these has the highest final energy?
A: KBaNa2

=====

Q: final energy of number 2 (KBaNa2)?
A: -1.35 eV per atom

=====

Q: Which of these has the highest final energy?
A: KBaNa2